## ZnCo2O5 (PBE with a Hubbard U)

Data for a relaxed structure of ZnCo2O5.

Results
Distance to the lowest polymorph of the same formula (meV per atom): 51.9
Total DFT energy (no corrections) (eV/atom): -5.2181
V (Å³/cell): 179.3

Cell and atoms, written as POSCAR:
```
ZnCo2O5
1.0
-1.947 2.226 1.235
-3.465 -3.378 0.627
4.083 -2.244 10.481
Zn O Co
2 10 4
Direct
0.500 0.894 0.000 Zn
0.000 0.106 0.500 Zn
0.000 0.376 0.686 O
0.500 0.411 0.500 O
0.500 0.624 0.186 O
0.500 0.912 0.393 O
0.500 0.912 0.607 O
0.000 0.088 0.107 O
0.000 0.376 0.314 O
0.500 0.624 0.814 O
0.000 0.589 0.000 O
0.000 0.088 0.893 O
0.000 0.422 0.850 Co
0.000 0.422 0.150 Co
0.500 0.578 0.650 Co
0.500 0.578 0.350 Co
```